[1]
Below is an optimized crystal structure of Sr2TcAs, with properties calculated at the PBE-GGA level.

The structure belongs to space group Imm2 (No. 44); the cell edges are 3.983, 5.139 and 10.925 Å and the angles 90.00°, 90.00° and 90.00°. Symmetry generates all atoms from Sr at (0.000, 0.000, 0.000), Sr at (0.000, 0.500, 0.212), Tc at (0.000, 0.000, 0.394) and As at (0.000, 0.500, 0.773).

For the formation energy, the calculation gives -64.1 meV per atom.


[2]
Below is an optimized crystal structure of ReB2H, with properties calculated at the PBE-GGA level.

The structure belongs to space group I4_1/amd (No. 141, origin choice 2); the cell edges are 3.607, 3.607 and 9.567 Å and the angles 90.00°, 90.00° and 90.00°. Symmetry generates all atoms from Re at (0.000, 0.250, 0.375), B at (0.000, 0.000, 0.000) and H at (0.000, 0.250, 0.875).

For the distance to the lowest polymorph of the same formula, the calculation gives 0.00 eV/f.u.